Material: HoThZnMo
Method: DFT, GGA-PBE
State: optimized geometry

Values from the calculation:
final energy = -5.97 eV per atom
formation energy = 53 meV per atom
total magnetic moment = 0.0 μB/cell

Cell lengths 5.053, 5.053, 5.053 Å; angles 60.00, 60.00, 60.00 degrees
Sites, in units of the cell vectors:
Zn  0.750  0.750  0.750
Mo  0.250  0.250  0.250
Ho  0.000  0.000  0.000
Th  0.500  0.500  0.500